No. 1
Here is an optimized crystal structure of Na2TlAsPt from the Alexandria database. Energies are from GGA-PBE.

Summary:
E_tot (eV per atom): -3.34
Calculated density (Mg/m³): 6.11
Formation enthalpy at 0 K (eV per atom): -0.205

a = 5.5307 Å, b = 5.5307 Å, c = 4.6252 Å
α = 90.00°, β = 90.00°, γ = 90.00°
With the nearest neighbours (Å) after each atom.
Space group P4/mmm (No. 123)
Asymmetric unit:
Na  0.0000  0.5000  0.0000 (multiplicity 2)  2 Pt 2.77
Tl  0.0000  0.0000  0.5000 (multiplicity 1)  8 Na 3.60, 4 As 3.91
As  0.5000  0.5000  0.5000 (multiplicity 1)  2 Pt 2.31
Pt  0.5000  0.5000  0.0000 (multiplicity 1)  2 As 2.31



No. 2
Here is an optimized crystal structure of CeZrCl from the Alexandria database. Energies are from GGA-PBE.

Summary:
Formation energy without anion corrections (meV per atom): -797
E_tot (eV per atom): -6.24
Calculated density (Mg/m³): 6.16

a = 5.6034 Å, b = 5.6016 Å, c = 9.1627 Å
α = 90.00°, β = 90.42°, γ = 90.00°
With the nearest neighbours (Å) after each atom.
Space group C2/m (No. 12)
Asymmetric unit:
Ce  0.2468  0.0000  0.1846 (multiplicity 4)  5 Cl 2.82-3.01
Zr  0.2492  0.5000  0.4390 (multiplicity 4)  1 Cl 2.70, 4 Zr 3.02
Cl  0.2464  0.5000  0.1444 (multiplicity 4)  1 Zr 2.70, 5 Ce 2.82-3.01